## Ga2AgSbH (PBE)

Data for a relaxed structure of Ga2AgSbH.

Structure (extended XYZ):
```
5
Lattice="4.446 0.000 0.000 0.000 4.446 0.000 0.000 0.000 4.518" Properties=species:S:1:pos:R:3 pbc="T T T"
Ga 0.000 2.223 0.000
Ga 2.223 0.000 0.000
Ag 0.000 0.000 2.259
Sb 2.223 2.223 2.259
H 2.223 2.223 0.000
```

calculated total energy: -2.987 eV per atom
crystal system: tetragonal
total magnetic moment: 0.0 μB per formula unit


## TbPmGe2Pd5 (PBE)

Data for a relaxed structure of TbPmGe2Pd5.

Structure (extended XYZ):
```
9
Lattice="4.266 0.000 0.000 0.000 4.266 0.000 0.000 0.000 9.139" Properties=species:S:1:pos:R:3 pbc="T T T"
Tb 0.000 0.000 0.000
Pm 0.000 0.000 4.570
Ge 2.133 2.133 1.226
Ge 2.133 2.133 7.913
Pd 0.000 2.133 2.488
Pd 0.000 2.133 6.651
Pd 2.133 0.000 2.488
Pd 2.133 0.000 6.651
Pd 2.133 2.133 4.570
```

calculated total energy: -5.765 eV per atom
formation energy: -0.8116 eV per atom
crystal system: tetragonal
total magnetic moment: 0.0 μB per formula unit


## SrAg2Sb (PBE)

Data for a relaxed structure of SrAg2Sb.

Structure (extended XYZ):
```
4
Lattice="5.205 -1.740 0.000 5.205 1.740 0.000 -0.834 0.000 5.640" Properties=species:S:1:pos:R:3 pbc="T T T"
Sr 0.000 0.000 0.000
Ag 1.962 0.000 4.102
Ag 7.614 0.000 1.538
Sb 4.788 0.000 2.820
```

calculated total energy: -3.054 eV per atom
energy relative to the elements, uncorrected: -0.1770 eV per atom
crystal system: monoclinic
total magnetic moment: 0.0 μB per formula unit


## BaTcTeAs2 (PBE)

Data for a relaxed structure of BaTcTeAs2.

Structure (extended XYZ):
```
5
Lattice="4.804 0.000 0.000 0.000 4.804 0.000 0.000 0.000 6.372" Properties=species:S:1:pos:R:3 pbc="T T T"
Ba 0.000 0.000 0.000
Tc 0.000 0.000 3.186
Te 2.402 2.402 0.000
As 0.000 2.402 3.186
As 2.402 0.000 3.186
```

calculated total energy: -5.120 eV per atom
energy relative to the elements, uncorrected: -0.1739 eV per atom
crystal system: tetragonal
total magnetic moment: 0.0 μB per formula unit


## TiCdCu2 (PBE)

Data for a relaxed structure of TiCdCu2.

Structure (extended XYZ):
```
8
Lattice="-3.506 3.506 2.779 3.506 -3.506 2.779 3.506 3.506 -2.779" Properties=species:S:1:pos:R:3 pbc="T T T"
Ti 0.000 0.000 0.000
Ti 0.000 3.506 1.389
Cd 3.506 0.000 1.389
Cd 0.000 0.000 2.779
Cu 5.260 1.660 -0.695
Cu 1.660 1.753 0.695
Cu -1.753 1.846 2.084
Cu 1.846 1.753 3.473
```

calculated total energy: -3.805 eV per atom
formation energy: 0.4452 eV per atom
crystal system: tetragonal
total magnetic moment: 0.0 μB per formula unit


## NaHgC2 (PBE)

Data for a relaxed structure of NaHgC2.

Structure (extended XYZ):
```
8
Lattice="-3.287 3.287 2.935 3.287 -3.287 2.935 3.287 3.287 -2.935" Properties=species:S:1:pos:R:3 pbc="T T T"
Na 0.000 0.000 0.000
Na 0.000 3.287 1.467
Hg 3.287 0.000 1.467
Hg 0.000 0.000 2.935
C 1.643 1.968 -0.734
C 4.606 1.643 0.734
C 1.643 1.319 2.201
C -1.319 1.643 3.668
```

calculated total energy: -2.765 eV per atom
formation energy: 2.2519 eV per atom
crystal system: tetragonal
total magnetic moment: 0.0 μB per formula unit


## Pa2B3C (PBE)

Data for a relaxed structure of Pa2B3C.

Structure (extended XYZ):
```
12
Lattice="0.000 4.144 5.363 3.093 0.000 5.363 3.093 4.144 0.000" Properties=species:S:1:pos:R:3 pbc="T T T"
Pa 3.093 2.052 5.363
Pa 1.546 2.072 2.682
Pa 4.639 6.215 8.045
Pa 3.093 6.235 5.363
B 3.093 4.144 1.855
B 4.579 4.144 4.434
B 4.579 4.144 6.292
B 1.606 4.144 4.434
B 1.606 4.144 6.292
B 3.093 4.144 8.871
C 3.093 4.144 3.575
C 3.093 4.144 7.151
```

calculated total energy: -8.577 eV per atom
formation energy: -0.5352 eV per atom
crystal system: orthorhombic
total magnetic moment: 0.0 μB per formula unit


## SrCa4Tl (PBE)

Data for a relaxed structure of SrCa4Tl.

Structure (extended XYZ):
```
6
Lattice="3.951 0.000 0.000 0.000 3.951 0.000 0.000 0.000 15.301" Properties=species:S:1:pos:R:3 pbc="T T T"
Sr 0.000 0.000 0.000
Ca 0.000 0.000 5.778
Ca 0.000 0.000 9.522
Ca 1.976 1.976 2.990
Ca 1.976 1.976 12.311
Tl 1.976 1.976 7.650
```

calculated total energy: -2.150 eV per atom
formation energy: -0.1411 eV per atom
crystal system: tetragonal
total magnetic moment: 0.0 μB per formula unit


## TaSbRh (PBE)

Data for a relaxed structure of TaSbRh.

Structure (extended XYZ):
```
12
Lattice="4.312 0.000 0.000 0.000 6.671 0.000 0.000 0.000 8.008" Properties=species:S:1:pos:R:3 pbc="T T T"
Ta 0.000 1.076 0.000
Ta 0.000 1.175 4.508
Ta 2.156 5.496 0.504
Ta 2.156 5.595 4.004
Sb 0.000 3.792 3.003
Sb 0.000 5.400 6.116
Sb 2.156 1.271 2.111
Sb 2.156 2.879 7.008
Rh 0.000 3.981 0.372
Rh 0.000 6.357 2.292
Rh 2.156 0.314 6.296
Rh 2.156 2.690 4.376
```

calculated total energy: -7.992 eV per atom
energy relative to the elements, uncorrected: -0.2160 eV per atom
crystal system: orthorhombic
total magnetic moment: 0.0 μB per formula unit


## LiZrMo2 (PBE)

Data for a relaxed structure of LiZrMo2.

Structure (extended XYZ):
```
4
Lattice="4.611 -1.324 0.000 4.611 1.324 0.000 -0.199 0.000 5.667" Properties=species:S:1:pos:R:3 pbc="T T T"
Li 0.000 0.000 0.000
Zr 6.875 0.000 1.459
Mo 2.211 0.000 4.265
Mo 4.491 0.000 3.081
```

calculated total energy: -7.678 eV per atom
formation energy: 0.3526 eV per atom
crystal system: monoclinic
total magnetic moment: 0.0 μB per formula unit


## Tb3SiSn (PBE)

Data for a relaxed structure of Tb3SiSn.

Structure (extended XYZ):
```
10
Lattice="4.538 0.000 0.000 0.000 6.865 0.000 0.000 0.000 9.058" Properties=species:S:1:pos:R:3 pbc="T T T"
Tb 1.134 0.055 1.517
Tb 1.134 1.716 5.224
Tb 1.134 3.378 1.517
Tb 3.403 3.487 7.542
Tb 3.403 5.148 3.834
Tb 3.403 6.810 7.542
Si 1.134 1.716 8.130
Si 3.403 5.148 0.928
Sn 1.134 5.148 5.850
Sn 3.403 1.716 3.208
```

calculated total energy: -5.281 eV per atom
energy relative to the elements, uncorrected: -0.6172 eV per atom
crystal system: orthorhombic
total magnetic moment: 0.0 μB per formula unit


## KCoCl (PBE)

Data for a relaxed structure of KCoCl.

Structure (extended XYZ):
```
3
Lattice="3.891 0.000 0.000 -1.946 3.370 0.000 0.000 0.000 5.106" Properties=species:S:1:pos:R:3 pbc="T T T"
K 0.000 0.000 0.000
Co 0.000 2.247 2.553
Cl 1.946 1.123 2.553
```

calculated total energy: -3.376 eV per atom
energy relative to the elements, uncorrected: -0.0263 eV per atom
crystal system: hexagonal
total magnetic moment: 1.0 μB per formula unit


## V3Pd2C (PBE)

Data for a relaxed structure of V3Pd2C.

Structure (extended XYZ):
```
24
Lattice="6.722 0.000 0.000 0.000 6.722 0.000 0.000 0.000 6.722" Properties=species:S:1:pos:R:3 pbc="T T T"
V 0.316 0.840 5.358
V 0.840 5.358 0.316
V 1.364 3.677 2.521
V 1.997 3.045 5.882
V 2.521 1.364 3.677
V 3.045 5.882 1.997
V 3.677 2.521 1.364
V 4.201 4.725 6.406
V 4.725 6.406 4.201
V 5.358 0.316 0.840
V 5.882 1.997 3.045
V 6.406 4.201 4.725
Pd 0.401 6.321 2.960
Pd 1.280 1.280 1.280
Pd 2.081 5.442 4.641
Pd 2.960 0.401 6.321
Pd 3.762 3.762 3.762
Pd 4.641 2.081 5.442
Pd 5.442 4.641 2.081
Pd 6.321 2.960 0.401
C 0.840 2.521 4.201
C 2.521 4.201 0.840
C 4.201 0.840 2.521
C 5.882 5.882 5.882
```

calculated total energy: -8.033 eV per atom
formation energy: -0.2056 eV per atom
crystal system: cubic
total magnetic moment: 0.0 μB per formula unit


## VReSb2 (PBE)

Data for a relaxed structure of VReSb2.

Structure (extended XYZ):
```
8
Lattice="-3.133 3.133 5.903 3.133 -3.133 5.903 3.133 3.133 -5.903" Properties=species:S:1:pos:R:3 pbc="T T T"
V 0.000 0.000 0.000
V 0.000 3.133 2.952
Re 3.133 0.000 2.952
Re 0.000 0.000 5.903
Sb 1.567 -1.452 4.428
Sb 1.681 1.567 1.476
Sb 1.567 4.585 -1.476
Sb 1.452 1.567 7.379
```

calculated total energy: -6.454 eV per atom
energy relative to the elements, uncorrected: 0.9986 eV per atom
crystal system: tetragonal
total magnetic moment: 4.0 μB per formula unit


## Nb2SiH2 (PBE)

Data for a relaxed structure of Nb2SiH2.

Structure (extended XYZ):
```
5
Lattice="-1.601 1.601 5.407 1.601 -1.601 5.407 1.601 1.601 -5.407" Properties=species:S:1:pos:R:3 pbc="T T T"
Nb 0.000 0.000 1.453
Nb 0.000 0.000 9.362
Si 0.000 0.000 5.407
H 1.601 0.000 2.704
H 0.000 1.601 2.704
```

calculated total energy: -6.740 eV per atom
crystal system: tetragonal
total magnetic moment: 0.0 μB per formula unit


## LiSb2Se (PBE)

Data for a relaxed structure of LiSb2Se.

Structure (extended XYZ):
```
4
Lattice="4.020 0.000 0.000 0.000 4.020 0.000 0.000 0.000 6.724" Properties=species:S:1:pos:R:3 pbc="T T T"
Li 0.000 0.000 0.000
Sb 0.000 0.000 3.684
Sb 2.010 2.010 2.690
Se 2.010 2.010 0.136
```

calculated total energy: -3.784 eV per atom
energy relative to the elements, uncorrected: -0.3732 eV per atom
crystal system: tetragonal
total magnetic moment: 0.0 μB per formula unit


## Ag3As5Se12 (PBE)

Data for a relaxed structure of Ag3As5Se12.

Structure (extended XYZ):
```
80
Lattice="-8.002 8.002 8.002 8.002 -8.002 8.002 8.002 8.002 -8.002" Properties=species:S:1:pos:R:3 pbc="T T T"
Ag 4.001 2.000 0.000
Ag 8.002 4.001 -2.000
Ag 2.000 0.000 4.001
Ag 10.002 0.000 4.001
Ag 0.000 4.001 2.000
Ag 4.001 -2.000 8.002
Ag 4.001 10.002 0.000
Ag 8.002 4.001 6.001
Ag -2.000 8.002 4.001
Ag 6.001 8.002 4.001
Ag 0.000 4.001 10.002
Ag 4.001 6.001 8.002
As 0.000 0.000 0.000
As 4.001 4.001 -4.001
As 4.001 -4.001 4.001
As 8.002 0.000 0.000
As 12.002 2.000 0.000
As 8.002 -4.001 6.001
As 6.001 8.002 -4.001
As 6.001 0.000 4.001
As 4.001 6.001 0.000
As 8.002 4.001 2.000
As -4.001 4.001 4.001
As 0.000 8.002 0.000
As 0.000 0.000 8.002
As 4.001 4.001 4.001
As 0.000 4.001 6.001
As 4.001 2.000 8.002
As 2.000 8.002 4.001
As 2.000 0.000 12.002
As 0.000 12.002 2.000
As -4.001 6.001 8.002
Se 2.447 -0.418 1.003
Se 9.555 5.004 -4.418
Se 10.449 0.418 1.003
Se 9.555 -2.998 4.418
Se 7.584 -1.003 2.447
Se 12.420 -1.553 2.998
Se 1.003 2.447 -0.418
Se 10.999 3.583 -1.553
Se 5.004 4.418 -1.553
Se 6.998 2.447 0.418
Se -0.418 1.003 2.447
Se 4.418 -1.553 5.004
Se 7.584 6.998 -2.447
Se 4.418 1.553 2.998
Se 5.004 -4.418 9.555
Se 6.998 -2.447 7.584
Se 2.998 4.418 1.553
Se 9.005 5.554 0.418
Se 4.418 9.555 -2.998
Se 7.584 1.003 5.554
Se 2.447 7.584 -1.003
Se 9.555 2.998 3.583
Se 1.553 2.998 4.418
Se 2.447 0.418 6.998
Se 5.554 7.584 1.003
Se 6.448 5.004 3.583
Se -1.553 5.004 4.418
Se 5.554 0.418 9.005
Se 0.418 6.998 2.447
Se 3.583 -1.553 10.999
Se -1.003 2.447 7.584
Se 5.004 3.583 6.448
Se 1.003 10.449 0.418
Se 2.998 12.420 -1.553
Se 3.583 6.448 5.004
Se 0.418 1.003 10.449
Se 3.583 9.555 2.998
Se 8.419 6.998 5.554
Se 1.003 5.554 7.584
Se 2.998 3.583 9.555
Se -2.998 4.418 9.555
Se 6.998 5.554 8.419
Se -4.418 9.555 5.004
Se 0.418 9.005 5.554
Se -1.553 10.999 3.583
Se -2.447 7.584 6.998
Se -1.553 2.998 12.420
Se 5.554 8.419 6.998
```

calculated total energy: -3.590 eV per atom
energy relative to the elements, uncorrected: 0.0906 eV per atom
crystal system: cubic
total magnetic moment: 0.0 μB per formula unit


## SbTe2Rh (PBE)

Data for a relaxed structure of SbTe2Rh.

Structure (extended XYZ):
```
4
Lattice="1.942 1.121 8.944 -1.942 1.121 8.944 0.000 -2.242 8.944" Properties=species:S:1:pos:R:3 pbc="T T T"
Sb 0.000 0.000 0.000
Te 0.000 0.000 3.058
Te 0.000 0.000 23.773
Rh 0.000 0.000 13.416
```

calculated total energy: -4.547 eV per atom
energy relative to the elements, uncorrected: -0.1082 eV per atom
crystal system: trigonal
total magnetic moment: 0.0 μB per formula unit


## La2PmY6Tm2 (PBE)

Data for a relaxed structure of La2PmY6Tm2.

Structure (extended XYZ):
```
11
Lattice="2.874 -6.101 0.000 2.874 6.101 0.000 0.000 0.000 10.417" Properties=species:S:1:pos:R:3 pbc="T T T"
La 2.874 3.514 0.000
La 2.874 -3.514 0.000
Pm 2.874 0.000 0.000
Y 0.000 0.000 2.162
Y 0.000 0.000 8.255
Y 2.874 1.820 3.215
Y 2.874 1.820 7.202
Y 2.874 -1.820 3.215
Y 2.874 -1.820 7.202
Tm 2.874 4.512 5.208
Tm 2.874 -4.512 5.208
```

calculated total energy: -5.532 eV per atom
formation energy: 0.1348 eV per atom
crystal system: orthorhombic
total magnetic moment: 0.0 μB per formula unit


## SrBr5 (PBE)

Data for a relaxed structure of SrBr5.

Structure (extended XYZ):
```
6
Lattice="5.684 0.000 0.000 -2.842 4.922 0.000 0.000 0.000 8.491" Properties=species:S:1:pos:R:3 pbc="T T T"
Sr 0.000 0.000 0.000
Br -1.421 2.461 4.245
Br 0.000 3.282 0.000
Br 2.842 0.000 4.245
Br 1.421 2.461 4.245
Br 2.842 1.641 0.000
```

calculated total energy: -2.402 eV per atom
energy relative to the elements, uncorrected: -0.7277 eV per atom
crystal system: hexagonal
total magnetic moment: 0.0 μB per formula unit


## ScZn2FeTe (PBE)

Data for a relaxed structure of ScZn2FeTe.

Structure (extended XYZ):
```
5
Lattice="4.723 0.000 0.000 0.000 4.723 0.000 0.000 0.000 4.713" Properties=species:S:1:pos:R:3 pbc="T T T"
Sc 0.000 0.000 0.000
Zn 0.000 2.361 2.357
Zn 2.361 0.000 2.357
Fe 0.000 0.000 2.357
Te 2.361 2.361 0.000
```

calculated total energy: -3.962 eV per atom
energy relative to the elements, uncorrected: 0.1352 eV per atom
crystal system: tetragonal
total magnetic moment: 1.5 μB per formula unit